The following is a DFT calculation (GGA+U) of a relaxed Li5Cr3FeO8 crystal.

a b c (Å): 5.937 5.978 6.078
angles (deg): 117.37 99.38 110.84
Atoms (fractional coordinates):
Li  0.000  0.000  0.000
Li  0.000  0.000  0.500
Li  0.287  0.283  0.071
Li  0.500  0.500  0.000
Li  0.713  0.717  0.929
Cr  0.000  0.500  0.500
Cr  0.500  0.000  0.000
Cr  0.500  0.000  0.500
Fe  0.500  0.500  0.500
O  0.242  0.983  0.727
O  0.245  0.563  0.304
O  0.287  0.046  0.236
O  0.313  0.555  0.766
O  0.687  0.445  0.234
O  0.713  0.954  0.764
O  0.755  0.437  0.696
O  0.758  0.017  0.273

Summary:
Mass density, g cm⁻³: 3.78
Crystal system: triclinic
Distance to the lowest polymorph of the same formula, meV per atom: 385.2
M_tot, μB/atom: 0.527

***

The following is a DFT calculation (GGA+U) of a relaxed Cs2NiBr6F crystal.

a b c (Å): 7.785 7.785 7.785
angles (deg): 123.65 123.65 83.79
Atoms (fractional coordinates):
Cs  0.250  0.750  0.500
Cs  0.750  0.250  0.500
Ni  0.000  0.000  0.000
Br  0.211  0.211  0.000
Br  0.244  0.244  0.489
Br  0.244  0.756  0.000
Br  0.756  0.244  0.000
Br  0.756  0.756  0.511
Br  0.789  0.789  0.000
F  0.500  0.500  0.000

Summary:
Mass density, g cm⁻³: 4.36
N(E_F), states/eV/atom: 0.6678
Crystal system: tetragonal
M_tot, μB/atom: 0.100
Energy, eV per atom: -2.442